KVSe2 (PBE, relaxed); Fermi-level density of states = 0.1 states/eV per cell; E_form (uncorrected) = -0.891 eV/atom
1.0
3.4085 0.0000 0.0000
-0.0092 7.0006 0.0000
-0.0035 -2.8047 8.4096
K V Se
2 2 4
Direct
0.2485 0.1859 0.3243
0.7515 0.8141 0.6757
0.2494 0.3918 0.8793
0.7506 0.6082 0.1207
0.2512 0.6864 0.3405
0.2513 0.7588 0.9856
0.7487 0.2412 0.0144
0.7488 0.3136 0.6595